A plane-wave DFT calculation with GGA-PBE was carried out for a relaxed structure of TbY2Sc5.

Uncorrected energy ... -48.71 eV/cell
Space group ... No. 139
Energy above the lowest structure with this stoichiometry ... 37 meV/atom
E_form ... 49.2 kJ/mol of formula units

a b c (Å): 6.7215 6.7215 6.7215
angles (deg): 119.10 119.10 91.57
Element x y z (fractional)
Tb  0.0000  0.0000  0.0000
Y  0.0000  0.5000  0.5000
Y  0.5000  0.0000  0.5000
Sc  0.0000  0.0000  0.5000
Sc  0.0000  0.5000  0.0000
Sc  0.5000  0.0000  0.0000
Sc  0.5000  0.5000  0.0000
Sc  0.5000  0.5000  0.5000



A plane-wave DFT calculation with GGA-PBE was carried out for a relaxed structure of Tb3Y3Sc5.

Uncorrected energy ... -56.02 eV/cell
Space group ... No. 189
E_form ... 860.5 kJ/mol of formula units

a b c (Å): 8.9700 8.9700 5.4707
angles (deg): 90.00 90.00 120.00
Element x y z (fractional)
Tb  0.0000  0.3827  0.0000
Tb  0.3827  0.0000  0.0000
Tb  0.6173  0.6173  0.0000
Y  0.0000  0.6187  0.5000
Y  0.3813  0.3813  0.5000
Y  0.6187  0.0000  0.5000
Sc  0.0000  0.7592  0.0000
Sc  0.2408  0.2408  0.0000
Sc  0.3333  0.6667  0.0000
Sc  0.6667  0.3333  0.0000
Sc  0.7592  0.0000  0.0000



A plane-wave DFT calculation with GGA-PBE was carried out for a relaxed structure of Tb4YSc5.

Uncorrected energy ... -54.16 eV/cell
Space group ... No. 12
Energy above the lowest structure with this stoichiometry ... 0 meV/atom
E_form ... 239.2 kJ/mol of formula units

a b c (Å): 7.7904 7.7904 9.7144
angles (deg): 126.37 126.37 40.29
Element x y z (fractional)
Tb  0.2459  0.2459  0.1326
Tb  0.2533  0.2533  0.6270
Tb  0.7467  0.7467  0.3730
Tb  0.7541  0.7541  0.8674
Y  0.5000  0.5000  0.5000
Sc  0.0000  0.0000  0.0000
Sc  0.0533  0.0533  0.7151
Sc  0.4446  0.4446  0.0949
Sc  0.5554  0.5554  0.9051
Sc  0.9467  0.9467  0.2849



A plane-wave DFT calculation with GGA-PBE was carried out for a relaxed structure of Tb15YSc4.

Uncorrected energy ... -100.56 eV/cell
Space group ... No. 123
E_form ... 65.5 kJ/mol of formula units

a b c (Å): 4.9561 4.9561 24.6884
angles (deg): 90.00 90.00 90.00
Element x y z (fractional)
Tb  0.0000  0.0000  0.0000
Tb  0.0000  0.0000  0.2029
Tb  0.0000  0.0000  0.4010
Tb  0.0000  0.0000  0.5990
Tb  0.0000  0.0000  0.7971
Tb  0.0000  0.5000  0.1036
Tb  0.0000  0.5000  0.3018
Tb  0.0000  0.5000  0.5000
Tb  0.0000  0.5000  0.6982
Tb  0.0000  0.5000  0.8964
Tb  0.5000  0.0000  0.1036
Tb  0.5000  0.0000  0.3018
Tb  0.5000  0.0000  0.5000
Tb  0.5000  0.0000  0.6982
Tb  0.5000  0.0000  0.8964
Y  0.5000  0.5000  0.0000
Sc  0.5000  0.5000  0.2025
Sc  0.5000  0.5000  0.4009
Sc  0.5000  0.5000  0.5991
Sc  0.5000  0.5000  0.7975



> Which value of E_form does entry 4 give?

65.5 kJ/mol of formula units



> Look up the uncorrected energy of the second one.

-56.02 eV/cell